i | Below is an optimized crystal structure of TlC2N2, with properties calculated at the GGA-PBE level.

Output
D(E_F) (states/eV/f.u.): 1.6
Space group: I4/mmm, No. 139

Cell lengths 3.096, 3.096, 7.263 Å; angles 77.69, 77.69, 90.00 degrees
Atoms (fractional coordinates):
1 Tl 0.000 0.000 0.000
2 C 0.750 0.250 0.500
3 C 0.250 0.750 0.500
4 N 0.210 0.210 0.580
5 N 0.790 0.790 0.420

ii | Below is an optimized crystal structure of TlC2N2, with properties calculated at the GGA-PBE level.

Output
D(E_F) (states/eV/f.u.): 0.5
Space group: P4/mbm, No. 127

Cell lengths 6.884, 6.884, 5.806 Å; angles 90.00, 90.00, 90.00 degrees
Site moments in Bohr magnetons follow the coordinates.
Atoms (fractional coordinates):
1 Tl 0.000 0.000 0.000  0.00
2 Tl 0.500 0.500 0.000  0.00
3 C 0.065 0.565 0.500  0.31
4 C 0.565 0.935 0.500  0.31
5 C 0.935 0.435 0.500  0.31
6 C 0.435 0.065 0.500  0.31
7 N 0.443 0.943 0.000  0.00
8 N 0.943 0.557 0.000  0.00
9 N 0.557 0.057 0.000  0.00
10 N 0.057 0.443 0.000  0.00

Each structure's energy above the most stable one, in kJ/mol of atoms: i 41.5; ii 0.0.

i | Below is an optimized crystal structure of TmCN, with properties calculated at the GGA-PBE level.

Output
D(E_F) (states/eV/f.u.): 0.5
Space group: Pnma, No. 62

Cell lengths 3.345, 6.535, 5.920 Å; angles 90.00, 90.00, 90.00 degrees
Atoms (fractional coordinates):
1 C 0.750 0.970 0.951
2 C 0.250 0.530 0.451
3 C 0.250 0.030 0.049
4 C 0.750 0.470 0.549
5 Tm 0.750 0.310 0.157
6 Tm 0.250 0.190 0.657
7 Tm 0.250 0.690 0.843
8 Tm 0.750 0.810 0.343
9 N 0.750 0.434 0.787
10 N 0.250 0.066 0.287
11 N 0.250 0.566 0.213
12 N 0.750 0.934 0.713

ii | Below is an optimized crystal structure of TmCN, with properties calculated at the GGA-PBE level.

Output
D(E_F) (states/eV/f.u.): 1.6
Space group: I4mm, No. 107

Cell lengths 3.523, 3.523, 3.890 Å; angles 116.93, 116.93, 90.00 degrees
Atoms (fractional coordinates):
1 C 0.224 0.224 0.447
2 Tm 0.618 0.618 0.237
3 N 0.008 0.008 0.016

Each structure's energy above the most stable one, in kJ/mol of atoms: i 0.0; ii 8.4.

i | Below is an optimized crystal structure of V3CN, with properties calculated at the GGA-PBE level.

Output
D(E_F) (states/eV/f.u.): 2.2
Space group: Amm2, No. 38

Cell lengths 2.994, 6.648, 4.291 Å; angles 140.78, 90.00, 90.00 degrees
Atoms (fractional coordinates):
1 V 0.500 0.649 0.913
2 V 0.500 0.264 0.913
3 V 0.000 0.856 0.711
4 C 0.500 0.099 0.198
5 N 0.000 0.505 0.009

ii | Below is an optimized crystal structure of V3CN, with properties calculated at the GGA-PBE level.

Output
D(E_F) (states/eV/f.u.): 1.8
Space group: P-6c2, No. 188

Cell lengths 5.129, 4.841, 4.841 Å; angles 120.00, 90.00, 90.00 degrees
Atoms (fractional coordinates):
1 V 0.750 0.336 0.317
2 V 0.750 0.981 0.664
3 V 0.750 0.683 0.019
4 V 0.250 0.683 0.664
5 V 0.250 0.336 0.019
6 V 0.250 0.981 0.317
7 C 0.000 0.000 0.000
8 C 0.500 0.000 0.000
9 N 0.500 0.667 0.333
10 N 0.000 0.667 0.333

Each structure's energy above the most stable one, in kJ/mol of atoms: i 27.3; ii 0.0.

i | Below is an optimized crystal structure of V2CN, with properties calculated at the GGA-PBE level.

Output
D(E_F) (states/eV/f.u.): 2.7
Space group: R-3m, No. 166

Cell lengths 5.101, 5.101, 5.101 Å; angles 33.37, 33.37, 33.37 degrees
Atoms (fractional coordinates):
1 C 0.000 0.000 0.000
2 N 0.500 0.500 0.500
3 V 0.255 0.255 0.255
4 V 0.745 0.745 0.745

ii | Below is an optimized crystal structure of V2CN, with properties calculated at the GGA-PBE level.

Output
D(E_F) (states/eV/f.u.): 3.5
Space group: P4/mmm, No. 123

Cell lengths 2.923, 2.923, 4.167 Å; angles 90.00, 90.00, 90.00 degrees
Site moments in Bohr magnetons follow the coordinates.
Atoms (fractional coordinates):
1 C 0.000 0.000 0.500  0.00
2 N 0.500 0.500 0.000  0.00
3 V 0.000 0.000 0.000  0.10
4 V 0.500 0.500 0.500  0.01

iii | Below is an optimized crystal structure of V2CN, with properties calculated at the GGA-PBE level.

Output
D(E_F) (states/eV/f.u.): 3.6
Space group: I-42d, No. 122

Cell lengths 4.471, 4.471, 5.475 Å; angles 65.90, 65.90, 90.00 degrees
Atoms (fractional coordinates):
1 C 0.500 0.500 0.000
2 C 0.250 0.750 0.500
3 V 0.630 0.125 0.250
4 V 0.120 0.625 0.250
5 V 0.375 0.370 0.750
6 V 0.875 0.880 0.750
7 N 0.000 0.000 0.000
8 N 0.750 0.250 0.500

iv | Below is an optimized crystal structure of V2CN, with properties calculated at the GGA-PBE level.

Output
D(E_F) (states/eV/f.u.): 2.6
Space group: R3m, No. 160

Cell lengths 2.867, 2.867, 5.285 Å; angles 74.26, 74.26, 60.00 degrees
Atoms (fractional coordinates):
1 V 0.079 0.079 0.762
2 V 0.256 0.256 0.233
3 C 0.667 0.667 0.999
4 N 0.498 0.498 0.506

Each structure's energy above the most stable one, in kJ/mol of atoms: i 2.1; ii 3.6; iii 33.5; iv 0.0.

i | Below is an optimized crystal structure of V4CN, with properties calculated at the GGA-PBE level.

Output
D(E_F) (states/eV/f.u.): 5.3
Space group: I4_1md, No. 109

Cell lengths 5.579, 5.579, 5.579 Å; angles 105.93, 105.93, 116.81 degrees
Atoms (fractional coordinates):
1 V 0.752 0.454 0.703
2 V 0.248 0.954 0.706
3 V 0.204 0.002 0.203
4 V 0.704 0.498 0.206
5 V 0.293 0.498 0.794
6 V 0.799 0.002 0.797
7 V 0.752 0.049 0.297
8 V 0.248 0.543 0.294
9 C 0.747 0.747 0.000
10 C 0.497 0.997 0.500
11 N 0.253 0.253 0.000
12 N 0.003 0.503 0.500

ii | Below is an optimized crystal structure of V4CN, with properties calculated at the GGA-PBE level.

Output
D(E_F) (states/eV/f.u.): 3.5
Space group: C2/m, No. 12

Cell lengths 2.891, 5.318, 5.009 Å; angles 117.93, 90.00, 105.77 degrees
Atoms (fractional coordinates):
1 V 0.374 0.748 0.042
2 V 0.126 0.252 0.456
3 V 0.626 0.252 0.958
4 V 0.874 0.748 0.544
5 C 0.500 0.000 0.500
6 N 0.000 0.000 0.000

Each structure's energy above the most stable one, in kJ/mol of atoms: i 3.4; ii 0.0.

i | Below is an optimized crystal structure of W2CN, with properties calculated at the GGA-PBE level.

Output
D(E_F) (states/eV/f.u.): 3.3
Space group: Fm-3m, No. 225

Cell lengths 3.855, 3.855, 3.855 Å; angles 60.00, 60.00, 60.00 degrees
Atoms (fractional coordinates):
1 C 0.000 0.000 0.000
2 W 0.250 0.250 0.250
3 W 0.750 0.750 0.750
4 N 0.500 0.500 0.500

ii | Below is an optimized crystal structure of W2CN, with properties calculated at the GGA-PBE level.

Output
D(E_F) (states/eV/f.u.): 4.0
Space group: I-42d, No. 122

Cell lengths 4.689, 4.689, 5.743 Å; angles 65.91, 65.91, 90.00 degrees
Atoms (fractional coordinates):
1 C 0.500 0.500 0.000
2 C 0.250 0.750 0.500
3 W 0.629 0.125 0.250
4 W 0.121 0.625 0.250
5 W 0.375 0.371 0.750
6 W 0.875 0.879 0.750
7 N 0.000 0.000 0.000
8 N 0.750 0.250 0.500

Each structure's energy above the most stable one, in kJ/mol of atoms: i 30.4; ii 0.0.